(1)
This record from Alexandria via LeMat-Bulk describes a relaxed ZnBNF2 crystal. The functional is GGA-PBE.

Values from the calculation:
formation energy (no corrections): 237 kJ/mol of formula units
calculated total energy: -0.12906 hartree per atom

a = 4.100 Å, b = 4.100 Å, c = 3.966 Å
α = 90.00°, β = 90.00°, γ = 90.00°
Space group P4/mmm (No. 123)
Unique sites:
Zn 0.000 0.000 0.000 x1
B 0.500 0.500 0.500 x1
N 0.000 0.000 0.500 x1
F 0.000 0.500 0.000 x2

(2)
This record from Alexandria via LeMat-Bulk describes a relaxed LiTl2In crystal. The functional is GGA-PBE.

Values from the calculation:
E_form: -32 meV per atom
calculated total energy: -0.08741 hartree per atom

a = 7.510 Å, b = 7.510 Å, c = 7.510 Å
α = 90.00°, β = 90.00°, γ = 90.00°
Space group F-43m (No. 216)
Unique sites:
Li 0.000 0.000 0.000 x4
Tl 0.000 0.000 0.500 x4
Tl 0.250 0.250 0.250 x4
In 0.250 0.250 0.750 x4

(3)
This record from Alexandria via LeMat-Bulk describes a relaxed MnSnC3 crystal. The functional is GGA-PBE.

Values from the calculation:
E_form: 1749 meV per atom
calculated total energy: -0.23593 hartree per atom

a = 3.940 Å, b = 3.940 Å, c = 3.940 Å
α = 90.00°, β = 90.00°, γ = 90.00°
Space group Pm-3m (No. 221)
Unique sites:
Mn 0.000 0.000 0.000 x1
Sn 0.500 0.500 0.500 x1
C 0.000 0.000 0.500 x3

Copy entry 1 word for word.
This record from Alexandria via LeMat-Bulk describes a relaxed ZnBNF2 crystal. The functional is GGA-PBE.

Values from the calculation:
formation energy (no corrections): 237 kJ/mol of formula units
calculated total energy: -0.12906 hartree per atom

a = 4.100 Å, b = 4.100 Å, c = 3.966 Å
α = 90.00°, β = 90.00°, γ = 90.00°
Space group P4/mmm (No. 123)
Unique sites:
Zn 0.000 0.000 0.000 x1
B 0.500 0.500 0.500 x1
N 0.000 0.000 0.500 x1
F 0.000 0.500 0.000 x2

Q: Which of these has the highest calculated total energy?
A: LiTl2In

Q: Which of these has the lowest calculated total energy?
A: MnSnC3

Q: Look up the calculated total energy of the second one.
A: -0.08741 hartree per atom